## LiMnBi2 (GGA-PBE)

Data for crystalline LiMnBi2 at its relaxed geometry.

a b c (Å): 6.8400 6.8400 6.8400
angles (deg): 90.00 90.00 90.00
Positions (direct):
1 Li 0.0000 0.0000 0.0000
2 Li 0.0000 0.5000 0.5000
3 Li 0.5000 0.0000 0.5000
4 Li 0.5000 0.5000 0.0000
5 Mn 0.0000 0.0000 0.5000
6 Mn 0.0000 0.5000 0.0000
7 Mn 0.5000 0.0000 0.0000
8 Mn 0.5000 0.5000 0.5000
9 Bi 0.2500 0.2500 0.2500
10 Bi 0.2500 0.2500 0.7500
11 Bi 0.2500 0.7500 0.2500
12 Bi 0.2500 0.7500 0.7500
13 Bi 0.7500 0.2500 0.2500
14 Bi 0.7500 0.2500 0.7500
15 Bi 0.7500 0.7500 0.2500
16 Bi 0.7500 0.7500 0.7500

As for the total energy: -4.3903 eV per atom. For the volume, the calculation gives 80.0 Å³/f.u.